Below is a relaxed structure of BaBe2F, with properties calculated at the PBE level.

Structure (extended XYZ):
```
16
Lattice="7.143 0.000 0.000 0.000 7.143 0.000 0.000 0.000 7.143" Properties=species:S:1:pos:R:3 pbc="T T T"
Ba 0.000 0.000 0.000
Ba 0.000 3.571 3.571
Ba 3.571 0.000 3.571
Ba 3.571 3.571 0.000
Be 1.786 1.786 1.786
Be 1.786 1.786 5.357
Be 1.786 5.357 1.786
Be 1.786 5.357 5.357
Be 5.357 1.786 1.786
Be 5.357 1.786 5.357
Be 5.357 5.357 1.786
Be 5.357 5.357 5.357
F 0.000 0.000 3.571
F 0.000 3.571 0.000
F 3.571 0.000 0.000
F 3.571 3.571 3.571
```

Results
**SG**: Fm-3m
**Size of the total moment**: 0.000 Bohr magnetons per cell
**Formation energy from raw total energies**: 1.72 eV/f.u.
**Distance to the lowest polymorph of the same formula**: 0.4260 eV per atom


Below is a relaxed structure of PrY2Ho2Er, with properties calculated at the PBE level.

Structure (extended XYZ):
```
12
Lattice="6.505 0.000 0.000 0.000 17.870 0.000 0.000 0.000 3.421" Properties=species:S:1:pos:R:3 pbc="T T T"
Pr 0.000 0.000 0.000
Pr 3.253 8.935 1.711
Y 1.424 3.361 0.000
Y 1.828 12.296 1.711
Y 4.677 5.574 1.711
Y 5.081 14.509 0.000
Ho 1.405 6.316 1.711
Ho 1.848 15.251 0.000
Ho 4.657 2.619 0.000
Ho 5.101 11.554 1.711
Er 0.000 8.935 0.000
Er 3.253 0.000 1.711
```

Results
**SG**: Pnnm
**Size of the total moment**: 0.001 Bohr magnetons per cell
**ΔE_f**: 1.6 eV per formula unit


Below is a relaxed structure of CsGaClF3, with properties calculated at the PBE level.

Structure (extended XYZ):
```
12
Lattice="3.082 -8.956 0.000 3.082 8.956 0.000 -0.567 0.000 5.460" Properties=species:S:1:pos:R:3 pbc="T T T"
Cs 2.657 4.740 4.095
Cs 2.940 -4.740 1.365
Ga 2.940 8.324 1.365
Ga 2.657 -8.324 4.095
Cl 2.940 2.826 1.365
Cl 2.657 -2.826 4.095
F 2.940 6.560 1.365
F 0.875 0.332 2.622
F 0.592 -0.332 5.352
F 5.005 0.332 0.108
F 4.722 -0.332 2.838
F 2.657 -6.560 4.095
```

Results
**SG**: C2/c
**Size of the total moment**: 0.165 Bohr magnetons per cell
**Formation energy from raw total energies**: -13.40 eV/f.u.


Below is a relaxed structure of PmPd4Se2, with properties calculated at the PBE level.

Structure (extended XYZ):
```
14
Lattice="7.770 0.000 0.000 0.000 7.770 0.000 0.000 0.000 4.237" Properties=species:S:1:pos:R:3 pbc="T T T"
Pm 0.000 0.000 0.000
Pm 3.885 3.885 2.119
Pd 0.722 2.668 2.119
Pd 1.217 4.608 0.000
Pd 2.668 0.722 2.119
Pd 3.163 6.554 0.000
Pd 4.608 1.217 0.000
Pd 5.102 7.048 2.119
Pd 6.554 3.163 0.000
Pd 7.048 5.102 2.119
Se 1.694 6.076 2.119
Se 2.191 2.191 0.000
Se 5.580 5.580 0.000
Se 6.076 1.694 2.119
```

Results
**SG**: P4_2/mnm
**Size of the total moment**: 0.000 Bohr magnetons per cell
**Formation energy from raw total energies**: -4.78 eV/f.u.


Below is a relaxed structure of LaY6In, with properties calculated at the PBE level.

Structure (extended XYZ):
```
8
Lattice="4.938 0.000 0.000 0.000 4.938 0.000 0.000 0.000 10.237" Properties=species:S:1:pos:R:3 pbc="T T T"
La 0.000 0.000 0.000
Y 0.000 2.469 2.677
Y 0.000 2.469 7.559
Y 2.469 0.000 2.677
Y 2.469 0.000 7.559
Y 2.469 2.469 0.000
Y 2.469 2.469 5.118
In 0.000 0.000 5.118
```

Results
**SG**: P4/mmm
**Size of the total moment**: 0.015 Bohr magnetons per cell
**ΔE_f**: -0.8 eV per formula unit


Below is a relaxed structure of TbSm5HoSc2, with properties calculated at the PBE level.

Structure (extended XYZ):
```
18
Lattice="2.828 -10.844 0.000 2.828 10.844 0.000 0.000 0.000 9.432" Properties=species:S:1:pos:R:3 pbc="T T T"
Tb 2.828 6.866 4.716
Tb 2.828 -6.866 0.000
Sm 2.828 10.588 4.800
Sm 2.828 5.061 1.792
Sm 2.828 4.245 7.556
Sm 2.828 2.344 4.449
Sm 2.828 0.703 7.266
Sm 2.828 -0.703 2.550
Sm 2.828 -2.344 9.165
Sm 2.828 -4.245 2.840
Sm 2.828 -5.061 6.508
Sm 2.828 -10.588 0.084
Ho 2.828 2.141 0.927
Ho 2.828 -2.141 5.643
Sc 2.828 8.364 1.794
Sc 2.828 7.971 7.662
Sc 2.828 -7.971 2.946
Sc 2.828 -8.364 6.510
```

Results
**SG**: Cmc2_1
**Size of the total moment**: 0.000 Bohr magnetons per cell
**ΔE_f**: 1.5 eV per formula unit


Repeat the first record exactly.
Below is a relaxed structure of BaBe2F, with properties calculated at the PBE level.

Structure (extended XYZ):
```
16
Lattice="7.143 0.000 0.000 0.000 7.143 0.000 0.000 0.000 7.143" Properties=species:S:1:pos:R:3 pbc="T T T"
Ba 0.000 0.000 0.000
Ba 0.000 3.571 3.571
Ba 3.571 0.000 3.571
Ba 3.571 3.571 0.000
Be 1.786 1.786 1.786
Be 1.786 1.786 5.357
Be 1.786 5.357 1.786
Be 1.786 5.357 5.357
Be 5.357 1.786 1.786
Be 5.357 1.786 5.357
Be 5.357 5.357 1.786
Be 5.357 5.357 5.357
F 0.000 0.000 3.571
F 0.000 3.571 0.000
F 3.571 0.000 0.000
F 3.571 3.571 3.571
```

Results
**SG**: Fm-3m
**Size of the total moment**: 0.000 Bohr magnetons per cell
**Formation energy from raw total energies**: 1.72 eV/f.u.
**Distance to the lowest polymorph of the same formula**: 0.4260 eV per atom


Copy entry 5 word for word.
Below is a relaxed structure of LaY6In, with properties calculated at the PBE level.

Structure (extended XYZ):
```
8
Lattice="4.938 0.000 0.000 0.000 4.938 0.000 0.000 0.000 10.237" Properties=species:S:1:pos:R:3 pbc="T T T"
La 0.000 0.000 0.000
Y 0.000 2.469 2.677
Y 0.000 2.469 7.559
Y 2.469 0.000 2.677
Y 2.469 0.000 7.559
Y 2.469 2.469 0.000
Y 2.469 2.469 5.118
In 0.000 0.000 5.118
```

Results
**SG**: P4/mmm
**Size of the total moment**: 0.015 Bohr magnetons per cell
**ΔE_f**: -0.8 eV per formula unit